(1)
A geometry-optimized UIrW structure, computed with PBE.

Output
N(E_F): 1.9295 states/eV/atom
energy of formation from the pure elements: 1.4 eV/f.u.
calculated volume: 913.50 Å³ per cell
total magnetic moment: 13.05 Bohr magnetons per cell

a b c (Å): 9.7029 9.7029 9.7029
angles (deg): 90.00 90.00 90.00
With the nearest neighbours (Å) after each atom.
Space group F-43m (No. 216)
Unique sites:
U: 0.1040 0.1040 0.3960  3 W 2.83, 3 U 2.85
Ir: 0.1534 0.1534 0.8466  3 W 2.59, 3 Ir 2.65
W: 0.1044 0.1044 0.1044  3 Ir 2.59, 3 U 2.83, 3 W 2.86



(2)
A geometry-optimized UIr2W structure, computed with PBE.

Output
N(E_F): 0.9464 states/eV/atom
energy of formation from the pure elements: -1.4 eV/f.u.
calculated volume: 67.65 Å³ per cell
total magnetic moment: 0.00 Bohr magnetons per cell

a b c (Å): 4.0806 4.0806 4.0625
angles (deg): 90.00 90.00 90.00
With the nearest neighbours (Å) after each atom.
Space group P4/mmm (No. 123)
Unique sites:
U: 0.0000 0.0000 0.0000  8 Ir 2.88, 4 W 2.89
Ir: 0.0000 0.5000 0.5000  4 W 2.88, 4 U 2.88, 4 Ir 2.89
W: 0.5000 0.5000 0.0000  8 Ir 2.88, 4 U 2.89



(3)
A geometry-optimized YUIr2 structure, computed with PBE.

Output
N(E_F): 1.3695 states/eV/atom
energy of formation from the pure elements: -2.2 eV/f.u.
calculated volume: 324.00 Å³ per cell
total magnetic moment: 8.95 Bohr magnetons per cell

a b c (Å): 6.8683 6.8683 6.8683
angles (deg): 90.00 90.00 90.00
With the nearest neighbours (Å) after each atom.
Space group Fm-3m (No. 225)
Unique sites:
Y: 0.0000 0.0000 0.0000  8 Ir 2.97
U: 0.0000 0.0000 0.5000  8 Ir 2.97
Ir: 0.2500 0.2500 0.2500  4 U 2.97, 4 Y 2.97



(4)
A geometry-optimized YUIr2 structure, computed with PBE.

Output
N(E_F): 0.9855 states/eV/atom
energy of formation from the pure elements: -2.4 eV/f.u.
calculated volume: 81.48 Å³ per cell
total magnetic moment: 1.62 Bohr magnetons per cell

a b c (Å): 3.4010 3.4010 7.0444
angles (deg): 90.00 90.00 90.00
With the nearest neighbours (Å) after each atom.
Space group P4/mmm (No. 123)
Unique sites:
Y: 0.0000 0.0000 0.0000  8 Ir 3.07, 4 Y 3.40
U: 0.0000 0.0000 0.5000  8 Ir 2.90
Ir: 0.5000 0.5000 0.2702  4 U 2.90, 4 Y 3.07, 1 Ir 3.24



(5)
A geometry-optimized Y3UIr8 structure, computed with PBE.

Output
N(E_F): 0.9213 states/eV/atom
energy of formation from the pure elements: -8.6 eV/f.u.
calculated volume: 653.42 Å³ per cell
total magnetic moment: 6.31 Bohr magnetons per cell

a b c (Å): 5.3632 5.3632 26.2313
angles (deg): 90.00 90.00 120.00
With the nearest neighbours (Å) after each atom.
Space group R3m (No. 160, hexagonal axes)
Unique sites:
Y: 0.0000 0.0000 0.0000  12 Ir 3.14-3.17, 4 Y 3.27-3.28
Y: 0.0000 0.0000 0.1249  12 Ir 3.12-3.15, 1 Y 3.28, 3 U 3.30
Y: 0.0000 0.0000 0.6267  12 Ir 3.14-3.17, 3 Y 3.27, 1 U 3.28
U: 0.0000 0.0000 0.5015  12 Ir 3.12-3.15, 4 Y 3.28-3.30
Ir: 0.0000 0.0000 0.3133  6 Ir 2.69
Ir: 0.0000 0.0000 0.8131  6 Ir 2.66-2.67
Ir: 0.0023 0.5012 0.0642  6 Ir 2.66-2.70
Ir: 0.1681 0.3362 0.8956  6 Ir 2.66-2.70



(6)
A geometry-optimized UZn3Ir2 structure, computed with PBE.

Output
N(E_F): 1.0064 states/eV/atom
energy of formation from the pure elements: -1.7 eV/f.u.
calculated volume: 399.59 Å³ per cell
total magnetic moment: 3.70 Bohr magnetons per cell

a b c (Å): 13.7195 3.9160 9.1467
angles (deg): 90.00 125.60 90.00
With the nearest neighbours (Å) after each atom.
Space group C2/m (No. 12)
Unique sites:
U: 0.1217 0.0000 0.4888  5 Ir 2.75-2.99
Zn: 0.0700 0.0000 0.9240  5 Zn 2.59-2.74, 3 Ir 2.65-2.80
Zn: 0.0815 0.5000 0.1973  3 Ir 2.57-2.63, 2 Zn 2.59
Zn: 0.2408 0.5000 0.0887  6 Zn 2.65-2.88, 3 Ir 2.70-2.95
Ir: 0.0595 0.5000 0.6956  3 Zn 2.63-2.80, 1 Ir 2.81, 2 U 2.82
Ir: 0.2260 0.0000 0.2786  5 Zn 2.57-2.70, 2 U 2.75, 1 Ir 2.81



(7)
A geometry-optimized UZnIr structure, computed with PBE.

Output
N(E_F): 1.1644 states/eV/atom
energy of formation from the pure elements: -0.9 eV/f.u.
calculated volume: 53.33 Å³ per cell
total magnetic moment: 1.08 Bohr magnetons per cell

a b c (Å): 4.5336 4.5336 2.9960
angles (deg): 90.00 90.00 120.00
With the nearest neighbours (Å) after each atom.
Space group P-6m2 (No. 187)
Unique sites:
U: 0.0000 0.0000 0.0000  2 U 3.00, 6 Ir 3.02, 6 Zn 3.02
Zn: 0.3333 0.6667 0.5000  3 Ir 2.62
Ir: 0.6667 0.3333 0.5000  3 Zn 2.62



(8)
A geometry-optimized UZnIr structure, computed with PBE.

Output
N(E_F): 1.8368 states/eV/atom
energy of formation from the pure elements: -1.2 eV/f.u.
calculated volume: 223.23 Å³ per cell
total magnetic moment: 6.93 Bohr magnetons per cell

a b c (Å): 6.5410 4.2098 8.1068
angles (deg): 90.00 90.00 90.00
With the nearest neighbours (Å) after each atom.
Space group Pnma (No. 62)
Unique sites:
U: 0.0329 0.2500 0.1942  5 Ir 2.83-3.01, 5 Zn 3.08-3.16
Zn: 0.1454 0.2500 0.5635  4 Ir 2.67-2.69
Ir: 0.2391 0.2500 0.8847  4 Zn 2.67-2.69, 3 U 2.83-2.85



(9)
A geometry-optimized UZn4Ir2 structure, computed with PBE.

Output
N(E_F): 0.9891 states/eV/atom
energy of formation from the pure elements: -2.1 eV/f.u.
calculated volume: 240.14 Å³ per cell
total magnetic moment: 3.24 Bohr magnetons per cell

a b c (Å): 8.0270 8.0270 3.7269
angles (deg): 90.00 90.00 90.00
With the nearest neighbours (Å) after each atom.
Space group P4_2/mnm (No. 136)
Unique sites:
U: 0.0000 0.0000 0.0000  4 Ir 2.70
Zn: 0.0988 0.3466 0.5000  3 Ir 2.59-2.62, 5 Zn 2.79-2.81
Ir: 0.1722 0.8278 0.5000  6 Zn 2.59-2.62, 2 U 2.70



(10)
A geometry-optimized UZn2Ir2 structure, computed with PBE.

Output
N(E_F): 1.2785 states/eV/atom
energy of formation from the pure elements: -0.9 eV/f.u.
calculated volume: 174.95 Å³ per cell
total magnetic moment: 1.88 Bohr magnetons per cell

a b c (Å): 4.5454 6.6887 5.7545
angles (deg): 90.00 90.00 90.00
With the nearest neighbours (Å) after each atom.
Space group Cmmm (No. 65)
Unique sites:
U: 0.0000 0.0000 0.0000  4 Ir 2.68
Zn: 0.0000 0.1781 0.5000  3 Zn 2.38-2.47, 2 Ir 2.60
Ir: 0.0000 0.5000 0.2480  2 Zn 2.60, 2 U 2.68, 2 Ir 2.85-2.90



(11)
A geometry-optimized UZnIr structure, computed with PBE.

Output
N(E_F): 1.4188 states/eV/atom
energy of formation from the pure elements: -0.6 eV/f.u.
calculated volume: 107.12 Å³ per cell
total magnetic moment: 2.59 Bohr magnetons per cell

a b c (Å): 3.0550 3.0550 11.4778
angles (deg): 90.00 90.00 90.00
With the nearest neighbours (Å) after each atom.
Space group I4mm (No. 107)
Unique sites:
U: 0.0000 0.0000 0.0000  4 Ir 2.85, 4 U 3.06, 4 Zn 3.13
Zn: 0.0000 0.0000 0.3029  4 Ir 2.70
Ir: 0.0000 0.0000 0.6613  4 Zn 2.70, 4 U 2.85



(12)
A geometry-optimized U2ZnIr9 structure, computed with PBE.

Output
N(E_F): 0.9301 states/eV/atom
energy of formation from the pure elements: -5.1 eV/f.u.
calculated volume: 191.28 Å³ per cell
total magnetic moment: 0.00 Bohr magnetons per cell

a b c (Å): 4.0197 4.0197 11.8381
angles (deg): 90.00 90.00 90.00
With the nearest neighbours (Å) after each atom.
Space group P4/mmm (No. 123)
Unique sites:
U: 0.0000 0.0000 0.1753  12 Ir 2.79-2.89
Zn: 0.0000 0.0000 0.5000  12 Ir 2.77-2.84
Ir: 0.0000 0.5000 0.0000  8 Ir 2.84, 4 U 2.89
Ir: 0.0000 0.5000 0.3392  8 Ir 2.77-2.84, 2 Zn 2.77, 2 U 2.79
Ir: 0.5000 0.5000 0.1691  8 Ir 2.84, 4 U 2.84
Ir: 0.5000 0.5000 0.5000  8 Ir 2.77, 4 Zn 2.84